1.
The following is a DFT calculation (PBE-GGA) of crystalline Ho3CoCu2 at its relaxed geometry.

POSCAR file:
```
Ho3CoCu2
1.0
11.2074 0.0000 0.0000
0.0000 4.0219 0.0000
0.0000 0.0000 11.2304
Ho Co Cu
12 4 8
Direct
0.0491 0.2500 0.1252 Ho
0.1191 0.7500 0.5511 Ho
0.2282 0.2500 0.7923 Ho
0.2718 0.7500 0.2923 Ho
0.3809 0.2500 0.0511 Ho
0.4509 0.7500 0.6252 Ho
0.5491 0.2500 0.3748 Ho
0.6191 0.7500 0.9489 Ho
0.7282 0.2500 0.7077 Ho
0.7718 0.7500 0.2077 Ho
0.8809 0.2500 0.4489 Ho
0.9509 0.7500 0.8748 Ho
0.1212 0.2500 0.3674 Co
0.3788 0.7500 0.8674 Co
0.6212 0.2500 0.1326 Co
0.8788 0.7500 0.6326 Co
0.0119 0.7500 0.3093 Cu
0.1956 0.7500 0.9930 Cu
0.3044 0.2500 0.4930 Cu
0.4881 0.2500 0.8093 Cu
0.5119 0.7500 0.1907 Cu
0.6956 0.7500 0.5070 Cu
0.8044 0.2500 0.0070 Cu
0.9881 0.2500 0.6907 Cu
```

Energy of formation from the pure elements: -0.227 eV per atom
Space-group type: Pnma, No. 62
Theoretical density: 8.933 g/cm3
E: -5.065 eV/atom
Crystal system: orthorhombic
Polymorph energy (0 for the lowest one): 8.7 meV per atom

2.
The following is a DFT calculation (PBE-GGA) of crystalline CeEr5Tl6 at its relaxed geometry.

POSCAR file:
```
CeEr5Tl6
1.0
4.9612 -5.5899 0.0000
4.9612 5.5899 0.0000
-1.4072 0.0000 6.3061
Ce Er Tl
1 5 6
Direct
0.0000 0.0000 0.0000 Ce
0.1644 0.8356 0.5000 Er
0.3347 0.6653 0.0000 Er
0.5000 0.5000 0.5000 Er
0.6653 0.3347 0.0000 Er
0.8356 0.1644 0.5000 Er
0.0821 0.4247 0.2545 Tl
0.2524 0.2524 0.7405 Tl
0.4247 0.0821 0.2545 Tl
0.5753 0.9179 0.7455 Tl
0.7476 0.7476 0.2595 Tl
0.9179 0.5753 0.7455 Tl
```

Energy of formation from the pure elements: -0.207 eV per atom
Space-group type: C2/m, No. 12
Theoretical density: 10.457 g/cm3
E: -3.786 eV/atom
Crystal system: monoclinic
Polymorph energy (0 for the lowest one): 86.8 meV per atom

3.
The following is a DFT calculation (PBE-GGA) of crystalline CaMg2Si at its relaxed geometry.

POSCAR file:
```
CaMg2Si
1.0
12.5605 0.0000 0.0000
0.0000 3.2190 0.0000
-2.0993 0.0000 4.7015
Ca Mg Si
2 4 2
Direct
0.0000 0.0000 0.0000 Ca
0.5000 0.5000 0.0000 Ca
0.2054 0.0000 0.7061 Mg
0.2946 0.5000 0.2939 Mg
0.7054 0.5000 0.7061 Mg
0.7946 0.0000 0.2939 Mg
0.0000 0.5000 0.5000 Si
0.5000 0.0000 0.5000 Si
```

Formation energy from raw total energies: -0.105 eV/atom
Space-group type: C2/m, No. 12
Theoretical density: 2.040 g/cm3
E: -2.758 eV/atom
Crystal system: monoclinic

4.
The following is a DFT calculation (PBE-GGA) of crystalline Ba2Sc at its relaxed geometry.

POSCAR file:
```
Ba2Sc
1.0
10.8839 0.0000 0.0000
-5.4419 9.4257 0.0000
0.0000 0.0000 3.9618
Ba Sc
6 3
Direct
0.0000 0.3014 0.0000 Ba
0.0000 0.6359 0.5000 Ba
0.3014 0.0000 0.0000 Ba
0.3641 0.3641 0.5000 Ba
0.6359 0.0000 0.5000 Ba
0.6986 0.6986 0.0000 Ba
0.0000 0.0000 0.5000 Sc
0.3333 0.6667 0.0000 Sc
0.6667 0.3333 0.0000 Sc
```

Energy of formation from the pure elements: 0.363 eV per atom
Space-group type: P-62m, No. 189
Theoretical density: 3.917 g/cm3
E: -3.029 eV/atom
Crystal system: hexagonal
Polymorph energy (0 for the lowest one): 116.7 meV per atom